Record 1
Here is an optimized crystal structure of Ti2NbMo5 from Alexandria. Energies are from PBE-GGA.

```
Ti2NbMo5
1.0
-3.1800 3.1800 3.1766
3.1800 -3.1800 3.1766
3.1800 3.1800 -3.1766
Ti Nb Mo
2 1 5
direct
0.0000 0.5000 0.5000
0.5000 0.0000 0.5000
0.0000 0.0000 0.0000
0.0000 0.0000 0.5000
0.0000 0.5000 0.0000
0.5000 0.0000 0.0000
0.5000 0.5000 0.0000
0.5000 0.5000 0.5000
```

Values from the calculation:
N(E_F) in states/eV per cell: 13.42
Total energy in eV per atom: -10.10

=====

Record 2
Here is an optimized crystal structure of V3Ni2Pt8 from Alexandria. Energies are from PBE-GGA.

```
V3Ni2Pt8
1.0
2.5841 1.4920 9.1171
-2.5841 1.4920 9.1171
0.0000 -2.9839 9.1171
V Ni Pt
3 2 8
direct
0.0000 0.0000 0.0000
0.1890 0.1890 0.1890
0.8110 0.8110 0.8110
0.3655 0.3655 0.3655
0.6345 0.6345 0.6345
0.2242 0.7243 0.7243
0.2757 0.2757 0.7758
0.2757 0.7758 0.2757
0.2784 0.2784 0.2784
0.7216 0.7216 0.7216
0.7243 0.2242 0.7243
0.7243 0.7243 0.2242
0.7758 0.2757 0.2757
```

Values from the calculation:
N(E_F) in states/eV per cell: 15.12
Total energy in eV per atom: -6.66

=====

Record 3
Here is an optimized crystal structure of BaThNpO6 from Alexandria. Energies are from PBE-GGA.

```
BaThNpO6
1.0
6.0851 0.0000 0.0000
-3.0425 5.2698 0.0000
0.0000 0.0000 10.7259
Ba Th Np O
2 2 2 12
direct
0.0000 0.0000 0.0000
0.0000 0.0000 0.5000
0.3333 0.6667 0.2500
0.6667 0.3333 0.7500
0.3333 0.6667 0.7500
0.6667 0.3333 0.2500
0.0286 0.3890 0.6483
0.0286 0.6396 0.8517
0.3604 0.3890 0.8517
0.3604 0.9714 0.6483
0.3890 0.0286 0.1483
0.3890 0.3604 0.3517
0.6110 0.6396 0.6483
0.6110 0.9714 0.8517
0.6396 0.0286 0.3517
0.6396 0.6110 0.1483
0.9714 0.3604 0.1483
0.9714 0.6110 0.3517
```

Values from the calculation:
Total energy in eV per atom: -8.95
ΔE_f (raw) in meV per atom: -3165.6

=====

Record 4
Here is an optimized crystal structure of KYScBe2 from Alexandria. Energies are from PBE-GGA.

```
KYScBe2
1.0
5.3517 0.0000 0.0000
0.0000 5.3517 0.0000
0.0000 0.0000 5.4318
K Y Sc Be
1 1 1 2
direct
0.0000 0.0000 0.0000
0.5000 0.5000 0.5000
0.5000 0.5000 0.0000
0.0000 0.5000 0.5000
0.5000 0.0000 0.5000
```

Values from the calculation:
N(E_F) in states/eV per cell: 5.34
Total energy in eV per atom: -2.94

=====

Record 5
Here is an optimized crystal structure of Ac3Ho2Pb3 from Alexandria. Energies are from PBE-GGA.

```
Ac3Ho2Pb3
1.0
-2.2689 2.5925 11.8755
2.2689 -2.5925 11.8755
2.2689 2.5925 -11.8755
Ac Ho Pb
3 2 3
direct
0.0000 0.0000 0.0000
0.3786 0.8786 0.5000
0.6214 0.1214 0.5000
0.2535 0.2535 0.0000
0.7465 0.7465 0.0000
0.1531 0.6531 0.5000
0.5000 0.5000 0.0000
0.8469 0.3469 0.5000
```

Values from the calculation:
N(E_F) in states/eV per cell: 8.98
Total energy in eV per atom: -4.46

=====

Record 6
Here is an optimized crystal structure of BAsPtBr2 from Alexandria. Energies are from PBE-GGA.

```
BAsPtBr2
1.0
5.3546 0.0000 0.0000
0.0000 5.3546 0.0000
0.0000 0.0000 4.7139
B As Pt Br
1 1 1 2
direct
0.0000 0.0000 0.0000
0.5000 0.5000 0.0000
0.5000 0.5000 0.5000
0.0000 0.5000 0.5000
0.5000 0.0000 0.5000
```

Values from the calculation:
N(E_F) in states/eV per cell: 3.83
Total energy in eV per atom: -3.02
ΔE_f (raw) in meV per atom: 1120.6

=====

Record 7
Here is an optimized crystal structure of Mo3Pt from Alexandria. Energies are from PBE-GGA.

```
Mo3Pt
1.0
2.6992 0.0000 0.0000
0.0000 4.1995 0.0000
-0.7311 0.0000 5.5677
Mo Pt
3 1
direct
0.0000 0.0000 0.0000
0.4171 0.5000 0.2468
0.5829 0.5000 0.7532
0.0000 0.0000 0.5000
```

Values from the calculation:
N(E_F) in states/eV per cell: 3.53
Total energy in eV per atom: -9.67

=====

Record 8
Here is an optimized crystal structure of Tm2Be6Pt9 from Alexandria. Energies are from PBE-GGA.

```
Tm2Be6Pt9
1.0
5.4935 0.0000 0.0000
-2.7468 4.7575 0.0000
0.0000 0.0000 10.1576
Tm Be Pt
2 6 9
direct
0.0000 0.0000 0.1897
0.0000 0.0000 0.8103
0.3333 0.6667 0.1656
0.3333 0.6667 0.5000
0.3333 0.6667 0.8344
0.6667 0.3333 0.1656
0.6667 0.3333 0.5000
0.6667 0.3333 0.8344
0.0000 0.5000 0.0000
0.0000 0.5000 0.3327
0.0000 0.5000 0.6673
0.5000 0.0000 0.0000
0.5000 0.0000 0.3327
0.5000 0.0000 0.6673
0.5000 0.5000 0.0000
0.5000 0.5000 0.3327
0.5000 0.5000 0.6673
```

Values from the calculation:
N(E_F) in states/eV per cell: 4.13
Total energy in eV per atom: -5.86

=====

Record 9
Here is an optimized crystal structure of Tb5CuRh2 from Alexandria. Energies are from PBE-GGA.

```
Tb5CuRh2
1.0
-3.8508 3.8508 6.5820
3.8508 -3.8508 6.5820
3.8508 3.8508 -6.5820
Tb Cu Rh
10 2 4
direct
0.0000 0.0000 0.0000
0.0226 0.5226 0.8244
0.1982 0.0226 0.5000
0.3018 0.8018 0.8244
0.4774 0.3018 0.5000
0.5000 0.5000 0.0000
0.5226 0.6982 0.5000
0.6982 0.1982 0.1756
0.8018 0.9774 0.5000
0.9774 0.4774 0.1756
0.2500 0.2500 0.0000
0.7500 0.7500 0.0000
0.1375 0.3625 0.5000
0.3625 0.8625 0.2249
0.6375 0.1375 0.7751
0.8625 0.6375 0.5000
```

Values from the calculation:
N(E_F) in states/eV per cell: 16.78
Total energy in eV per atom: -5.76

=====

Record 10
Here is an optimized crystal structure of La3PrDy2P6 from Alexandria. Energies are from PBE-GGA.

```
La3PrDy2P6
1.0
3.6161 -6.2631 0.0000
3.6161 6.2631 0.0000
-2.4109 0.0000 6.8197
La Pr Dy P
3 1 2 6
direct
0.0000 0.0000 0.0000
0.3342 0.6658 0.0000
0.6658 0.3342 0.0000
0.5000 0.5000 0.5000
0.1670 0.8330 0.5000
0.8330 0.1670 0.5000
0.0801 0.4198 0.2596
0.2400 0.2400 0.7394
0.4198 0.0801 0.2596
0.5802 0.9199 0.7404
0.7600 0.7600 0.2606
0.9199 0.5802 0.7404
```

Values from the calculation:
N(E_F) in states/eV per cell: 1.01
Total energy in eV per atom: -6.67